one.
Material: Li2CeMg
Method: DFT, GGA-PBE
State: relaxed

a b c (Å): 3.0722 3.0722 32.7400
angles (deg): 90.00 90.00 120.00
Space group R3m (No. 160, hexagonal axes)
Inequivalent atoms, fractional coordinates:
Li: 0.0000 0.0000 0.0000
Li: 0.0000 0.0000 0.1788
Ce: 0.0000 0.0000 0.4226
Mg: 0.0000 0.0000 0.5896

Calculated values
For the calculated volume, the calculation gives 267.6 Å³ per cell.

two.
Material: Li2CeMg
Method: DFT, GGA-PBE
State: relaxed

a b c (Å): 3.0296 3.0296 33.8600
angles (deg): 90.00 90.00 120.00
Space group R-3m (No. 166, hexagonal axes)
Inequivalent atoms, fractional coordinates:
Li: 0.0000 0.0000 0.0908
Ce: 0.0000 0.0000 0.0000
Mg: 0.0000 0.0000 0.5000

Calculated values
For the calculated volume, the calculation gives 269.1 Å³ per cell.

Top of the stability list: one, leading by 41 meV per atom.

one.
Material: LiCe2Mn
Method: DFT, GGA-PBE
State: relaxed

a b c (Å): 3.6959 3.6959 28.6321
angles (deg): 90.00 90.00 120.00
Space group R-3m (No. 166, hexagonal axes)
Inequivalent atoms, fractional coordinates:
Li: 0.0000 0.0000 0.0000
Ce: 0.0000 0.0000 0.1151
Mn: 0.0000 0.0000 0.5000

Calculated values
For the calculated volume, the calculation gives 338.7 Å³ per cell.

two.
Material: LiCe2Mn
Method: DFT, GGA-PBE
State: relaxed

a b c (Å): 3.170 3.170 8.907
angles (deg): 90.00 90.00 90.00
Space group P4/mmm (No. 123)
Inequivalent atoms, fractional coordinates:
Li: 0.000 0.000 0.000
Ce: 0.500 0.500 0.305
Mn: 0.000 0.000 0.500

Calculated values
For the calculated volume, the calculation gives 89.5 Å³ per cell.

Top of the stability list: two, leading by 181 meV per atom.

one.
Material: Li2CeNd
Method: DFT, GGA-PBE
State: relaxed

a b c (Å): 3.2224 3.2224 36.4834
angles (deg): 90.00 90.00 120.00
Space group R-3m (No. 166, hexagonal axes)
Inequivalent atoms, fractional coordinates:
Li: 0.0000 0.0000 0.0871
Ce: 0.0000 0.0000 0.0000
Nd: 0.0000 0.0000 0.5000

Calculated values
For the calculated volume, the calculation gives 328.1 Å³ per cell.

two.
Material: Li2CeNd
Method: DFT, GGA-PBE
State: relaxed

a b c (Å): 3.275 3.275 9.932
angles (deg): 90.00 90.00 90.00
Space group P4/mmm (No. 123)
Inequivalent atoms, fractional coordinates:
Li: 0.000 0.000 0.249
Ce: 0.500 0.500 0.000
Nd: 0.500 0.500 0.500

Calculated values
For the calculated volume, the calculation gives 106.5 Å³ per cell.

Top of the stability list: two, leading by 41 meV per atom.

one.
Material: LiCeNd
Method: DFT, GGA-PBE
State: relaxed

a b c (Å): 3.4481 3.4481 8.5115
angles (deg): 90.00 90.00 120.00
Space group P3m1 (No. 156)
Inequivalent atoms, fractional coordinates:
Li: 0.0000 0.0000 0.0000
Ce: 0.6667 0.3333 0.3258
Nd: 0.3333 0.6667 0.6693

Calculated values
For the calculated volume, the calculation gives 87.6 Å³ per cell.

two.
Material: LiCeNd
Method: DFT, GGA-PBE
State: relaxed

a b c (Å): 3.477 3.477 14.213
angles (deg): 90.00 90.00 90.00
Space group I4mm (No. 107)
Inequivalent atoms, fractional coordinates:
Li: 0.000 0.000 0.000
Ce: 0.000 0.000 0.339
Nd: 0.000 0.000 0.662

Calculated values
For the calculated volume, the calculation gives 171.9 Å³ per cell.

Top of the stability list: one, leading by 11 meV per atom.

one.
Material: LiCeNi
Method: DFT, GGA-PBE
State: relaxed

a b c (Å): 7.225 3.735 12.401
angles (deg): 90.00 91.11 90.00
Space group P2_1/m (No. 11)
Inequivalent atoms, fractional coordinates:
Li: 0.016 0.250 0.079
Li: 0.125 0.750 0.536
Li: 0.377 0.250 0.198
Ce: 0.055 0.750 0.287
Ce: 0.330 0.250 0.918
Ce: 0.451 0.250 0.625
Ni: 0.238 0.750 0.752
Ni: 0.264 0.250 0.408
Ni: 0.268 0.750 0.073

Calculated values
For the calculated volume, the calculation gives 334.6 Å³ per cell.

two.
Material: LiCeNi
Method: DFT, GGA-PBE
State: relaxed

a b c (Å): 3.214 3.214 11.002
angles (deg): 90.00 90.00 90.00
Space group I4mm (No. 107)
Inequivalent atoms, fractional coordinates:
Li: 0.000 0.000 0.000
Ce: 0.000 0.000 0.272
Ni: 0.000 0.000 0.625

Calculated values
For the calculated volume, the calculation gives 113.7 Å³ per cell.

Top of the stability list: one, leading by 124 meV per atom.

one.
Material: LiCeP2
Method: DFT, GGA-PBE
State: relaxed

a b c (Å): 4.3697 4.3697 13.7858
angles (deg): 90.00 90.00 120.00
Space group R-3m (No. 166, hexagonal axes)
Inequivalent atoms, fractional coordinates:
Li: 0.0000 0.0000 0.0000
Ce: 0.0000 0.0000 0.5000
P: 0.0000 0.0000 0.2595

Calculated values
For the calculated volume, the calculation gives 228.0 Å³ per cell.

two.
Material: LiCeP2
Method: DFT, GGA-PBE
State: relaxed

a b c (Å): 4.0780 4.0780 16.9960
angles (deg): 90.00 90.00 120.00
Space group R3m (No. 160, hexagonal axes)
Inequivalent atoms, fractional coordinates:
Li: 0.0000 0.0000 0.0000
Ce: 0.0000 0.0000 0.8181
P: 0.0000 0.0000 0.2522
P: 0.0000 0.0000 0.3876

Calculated values
For the calculated volume, the calculation gives 244.8 Å³ per cell.

Top of the stability list: two, leading by 45 meV per atom.